(1)
KFeMo4: optimized geometry, PBE-GGA.

Lattice parameters (Å, degrees): 5.379 5.379 5.379 60.00 60.00 60.00
Sites, in units of the cell vectors:
K (0.000, 0.000, 0.000)
Fe (0.250, 0.250, 0.250)
Mo (0.123, 0.626, 0.626)
Mo (0.626, 0.123, 0.626)
Mo (0.626, 0.626, 0.123)
Mo (0.626, 0.626, 0.626)

Results
Electronic total energy: -0.56264 Ry/atom
Total magnetic moment: 0.3297 μB/atom
V: 18.34 Å³ per atom
DFT formation energy: 1.1590 eV per atom

(2)
Ho8Tm2Mg3: optimized geometry, PBE-GGA.

Lattice parameters (Å, degrees): 8.471 8.471 6.503 97.41 97.41 61.00
Sites, in units of the cell vectors:
Ho (0.073, 0.704, 0.078)
Ho (0.089, 0.089, 0.388)
Ho (0.296, 0.927, 0.922)
Ho (0.305, 0.305, 0.711)
Ho (0.695, 0.695, 0.289)
Ho (0.704, 0.073, 0.078)
Ho (0.911, 0.911, 0.612)
Ho (0.927, 0.296, 0.922)
Tm (0.292, 0.292, 0.210)
Tm (0.708, 0.708, 0.790)
Mg (0.335, 0.665, 0.500)
Mg (0.500, 0.500, 0.000)
Mg (0.665, 0.335, 0.500)

Results
Electronic total energy: -0.26827 Ry/atom
Total magnetic moment: 0.0000 μB/atom
V: 31.03 Å³ per atom
DFT formation energy: 0.2230 eV per atom

(3)
CeEuTh: optimized geometry, PBE-GGA.

Lattice parameters (Å, degrees): 3.587 3.587 8.950 90.00 90.00 120.00
Sites, in units of the cell vectors:
Ce (0.000, 0.000, 0.000)
Eu (0.333, 0.667, 0.350)
Th (0.667, 0.333, 0.691)

Results
Offset from the most stable computed form: 0 meV/atom
Electronic total energy: -0.56922 Ry/atom
Total magnetic moment: 2.8194 μB/atom
V: 33.24 Å³ per atom
DFT formation energy: 0.1314 eV per atom

Q: Look up the V of the first one.
A: 18.34 Å³ per atom

Q: DFT formation energy of number 3 (CeEuTh)?
A: 0.1314 eV per atom

Q: Which value of total magnetic moment does entry 3 give?
A: 2.8194 μB/atom

Please write out number 3 again, unchanged.
CeEuTh: optimized geometry, PBE-GGA.

Lattice parameters (Å, degrees): 3.587 3.587 8.950 90.00 90.00 120.00
Sites, in units of the cell vectors:
Ce (0.000, 0.000, 0.000)
Eu (0.333, 0.667, 0.350)
Th (0.667, 0.333, 0.691)

Results
Offset from the most stable computed form: 0 meV/atom
Electronic total energy: -0.56922 Ry/atom
Total magnetic moment: 2.8194 μB/atom
V: 33.24 Å³ per atom
DFT formation energy: 0.1314 eV per atom